[1]
# Pm2HI2, relaxed, DFT GGA-PBE
data_Pm2HI2
_chemical_formula_sum 'Pm8 H4 I8'
_space_group_name_H-M_alt 'C 1 2/m 1'
_space_group_IT_number 12
_cell_length_a 22.452
_cell_length_b 4.071
_cell_length_c 7.087
_cell_angle_alpha 90.00
_cell_angle_beta 95.51
_cell_angle_gamma 90.00
loop_
_space_group_symop_operation_xyz
'x,y,z'
'-x,-y,-z'
'-x,y,-z'
'x,-y,z'
'x+1/2,y+1/2,z'
'-x+1/2,-y+1/2,-z'
'-x+1/2,y+1/2,-z'
'x+1/2,-y+1/2,z'
loop_
_atom_site_label
_atom_site_type_symbol
_atom_site_fract_x
_atom_site_fract_y
_atom_site_fract_z
Pm1 Pm 0.187 0.000 0.393
Pm2 Pm 0.187 0.500 0.900
H1 H 0.210 0.000 0.069
I1 I 0.090 0.500 0.199
I2 I 0.092 0.000 0.700
# Fermi-level density of states = 6.0 states/eV/cell
# Energy relative to the lowest polymorph listed for this composition = 0.0 meV per atom
# Mass density = 5.61 g/cm³
# Magnetic moment = 0.69 μB/f.u.

[2]
# Pm3HI7, relaxed, DFT GGA-PBE
data_Pm3HI7
_chemical_formula_sum 'Pm3 H1 I7'
_space_group_name_H-M_alt 'P 3 m 1'
_space_group_IT_number 156
_cell_length_a 8.5657
_cell_length_b 8.5657
_cell_length_c 7.6780
_cell_angle_alpha 90.00
_cell_angle_beta 90.00
_cell_angle_gamma 120.00
loop_
_space_group_symop_operation_xyz
'x,y,z'
'-y,x-y,z'
'-x+y,-x,z'
'-y,-x,z'
'-x+y,y,z'
'x,x-y,z'
loop_
_atom_site_label
_atom_site_type_symbol
_atom_site_fract_x
_atom_site_fract_y
_atom_site_fract_z
Pm1 Pm 0.0171 0.5086 0.0000
H1 H 0.3333 0.6667 0.9321
I1 I 0.1640 0.3280 0.2483
I2 I 0.3301 0.1650 0.7628
I3 I 0.6667 0.3333 0.2401
# Fermi-level density of states = 4.6 states/eV/cell
# Calculated total energy = -3.779 eV per atom
# Mass density = 4.51 g/cm³
# Magnetic moment = 1.05 μB/f.u.

[3]
# PmH2I4, relaxed, DFT GGA-PBE
data_PmH2I4
_chemical_formula_sum 'Pm1 H2 I4'
_space_group_name_H-M_alt 'P -1'
_space_group_IT_number 2
_cell_length_a 4.172
_cell_length_b 7.641
_cell_length_c 8.156
_cell_angle_alpha 93.10
_cell_angle_beta 92.14
_cell_angle_gamma 91.30
loop_
_space_group_symop_operation_xyz
'x,y,z'
'-x,-y,-z'
loop_
_atom_site_label
_atom_site_type_symbol
_atom_site_fract_x
_atom_site_fract_y
_atom_site_fract_z
Pm1 Pm 0.000 0.000 0.000
H1 H 0.466 0.753 0.684
I1 I 0.032 0.251 0.321
I2 I 0.498 0.236 0.843
# Fermi-level density of states = 1.5 states/eV/cell
# Calculated total energy = -3.060 eV per atom
# Mass density = 4.19 g/cm³
# Magnetic moment = 0.51 μB/f.u.

[4]
# Pm3H2I2, relaxed, DFT GGA-PBE
data_Pm3H2I2
_chemical_formula_sum 'Pm6 H4 I4'
_space_group_name_H-M_alt 'C 1 2/m 1'
_space_group_IT_number 12
_cell_length_a 12.300
_cell_length_b 3.754
_cell_length_c 8.025
_cell_angle_alpha 90.00
_cell_angle_beta 102.99
_cell_angle_gamma 90.00
loop_
_space_group_symop_operation_xyz
'x,y,z'
'-x,-y,-z'
'-x,y,-z'
'x,-y,z'
'x+1/2,y+1/2,z'
'-x+1/2,-y+1/2,-z'
'-x+1/2,y+1/2,-z'
'x+1/2,-y+1/2,z'
loop_
_atom_site_label
_atom_site_type_symbol
_atom_site_fract_x
_atom_site_fract_y
_atom_site_fract_z
Pm1 Pm 0.000 0.000 0.000
Pm2 Pm 0.243 0.000 0.810
H1 H 0.128 0.500 0.925
I1 I 0.115 0.000 0.388
# Fermi-level density of states = 11.1 states/eV/cell
# Calculated total energy = -4.071 eV per atom
# Mass density = 6.35 g/cm³
# Magnetic moment = 0.00 μB/f.u.

[5]
# Pm2HI2, relaxed, DFT GGA-PBE
data_Pm2HI2
_chemical_formula_sum 'Pm8 H4 I8'
_space_group_name_H-M_alt 'C 1 2/m 1'
_space_group_IT_number 12
_cell_length_a 13.855
_cell_length_b 6.181
_cell_length_c 7.853
_cell_angle_alpha 90.00
_cell_angle_beta 121.39
_cell_angle_gamma 90.00
loop_
_space_group_symop_operation_xyz
'x,y,z'
'-x,-y,-z'
'-x,y,-z'
'x,-y,z'
'x+1/2,y+1/2,z'
'-x+1/2,-y+1/2,-z'
'-x+1/2,y+1/2,-z'
'x+1/2,-y+1/2,z'
loop_
_atom_site_label
_atom_site_type_symbol
_atom_site_fract_x
_atom_site_fract_y
_atom_site_fract_z
Pm1 Pm 0.002 0.000 0.235
Pm2 Pm 0.204 0.500 0.603
H1 H 0.118 0.000 0.112
I1 I 0.042 0.500 0.797
I2 I 0.203 0.000 0.689
# Fermi-level density of states = 11.9 states/eV/cell
# Energy relative to the lowest polymorph listed for this composition = 192.2 meV per atom
# Mass density = 6.30 g/cm³
# Magnetic moment = 0.00 μB/f.u.

[6]
# Pm2HI3, relaxed, DFT GGA-PBE
data_Pm2HI3
_chemical_formula_sum 'Pm8 H4 I12'
_space_group_name_H-M_alt 'C 1 2/m 1'
_space_group_IT_number 12
_cell_length_a 19.480
_cell_length_b 4.101
_cell_length_c 12.317
_cell_angle_alpha 90.00
_cell_angle_beta 122.33
_cell_angle_gamma 90.00
loop_
_space_group_symop_operation_xyz
'x,y,z'
'-x,-y,-z'
'-x,y,-z'
'x,-y,z'
'x+1/2,y+1/2,z'
'-x+1/2,-y+1/2,-z'
'-x+1/2,y+1/2,-z'
'x+1/2,-y+1/2,z'
loop_
_atom_site_label
_atom_site_type_symbol
_atom_site_fract_x
_atom_site_fract_y
_atom_site_fract_z
Pm1 Pm 0.069 0.000 0.462
Pm2 Pm 0.135 0.500 0.789
H1 H 0.076 0.000 0.662
I1 I 0.038 0.500 0.243
I2 I 0.165 0.000 0.010
I3 I 0.214 0.500 0.621
# Fermi-level density of states = 9.6 states/eV/cell
# Energy relative to the lowest polymorph listed for this composition = 0.0 meV per atom
# Mass density = 5.37 g/cm³
# Magnetic moment = 0.92 μB/f.u.

[7]
# PmH2I, relaxed, DFT GGA-PBE
data_PmH2I
_chemical_formula_sum 'Pm2 H4 I2'
_space_group_name_H-M_alt 'P -3 m 1'
_space_group_IT_number 164
_space_group_name_Hall '-P 3 2"'
_cell_length_a 3.9710
_cell_length_b 3.9710
_cell_length_c 11.5025
_cell_angle_alpha 90.00
_cell_angle_beta 90.00
_cell_angle_gamma 120.00
loop_
_atom_site_label
_atom_site_type_symbol
_atom_site_fract_x
_atom_site_fract_y
_atom_site_fract_z
Pm1 Pm 0.3333 0.6667 0.3567
H1 H 0.0000 0.0000 0.3705
H2 H 0.3333 0.6667 0.5592
I1 I 0.3333 0.6667 0.8346
# Fermi-level density of states = 0.0 states/eV/cell
# Energy relative to the lowest polymorph listed for this composition = 0.0 meV per atom
# Mass density = 5.79 g/cm³
# Magnetic moment = 0.00 μB/f.u.

[8]
# PmH2I, relaxed, DFT GGA-PBE
data_PmH2I
_chemical_formula_sum 'Pm3 H6 I3'
_space_group_name_H-M_alt 'R -3 m'
_space_group_IT_number 166
_space_group_name_Hall '-R 3 2"'
_cell_length_a 3.9258
_cell_length_b 3.9258
_cell_length_c 15.7090
_cell_angle_alpha 90.00
_cell_angle_beta 90.00
_cell_angle_gamma 120.00
loop_
_atom_site_label
_atom_site_type_symbol
_atom_site_fract_x
_atom_site_fract_y
_atom_site_fract_z
Pm1 Pm 0.0000 0.0000 0.0000
H1 H 0.0000 0.0000 0.3080
I1 I 0.0000 0.0000 0.5000
# Energy relative to the lowest polymorph listed for this composition = 116.5 meV per atom
# Mass density = 6.51 g/cm³
# Magnetic moment = 0.00 μB/f.u.

[9]
# Pm6HPt2I3, relaxed, DFT GGA-PBE
data_Pm6HPt2I3
_chemical_formula_sum 'Pm12 H2 Pt4 I6'
_space_group_name_H-M_alt 'C 1 2/m 1'
_space_group_IT_number 12
_cell_length_a 7.250
_cell_length_b 12.572
_cell_length_c 8.303
_cell_angle_alpha 90.00
_cell_angle_beta 106.90
_cell_angle_gamma 90.00
loop_
_space_group_symop_operation_xyz
'x,y,z'
'-x,-y,-z'
'-x,y,-z'
'x,-y,z'
'x+1/2,y+1/2,z'
'-x+1/2,-y+1/2,-z'
'-x+1/2,y+1/2,-z'
'x+1/2,-y+1/2,z'
loop_
_atom_site_label
_atom_site_type_symbol
_atom_site_fract_x
_atom_site_fract_y
_atom_site_fract_z
Pm1 Pm 0.226 0.000 0.185
Pm2 Pm 0.231 0.332 0.188
H1 H 0.000 0.500 0.000
Pt1 Pt 0.000 0.167 0.000
I1 I 0.000 0.000 0.500
I2 I 0.000 0.333 0.500
# Fermi-level density of states = 16.7 states/eV/cell
# Calculated total energy = -4.929 eV per atom
# Mass density = 7.53 g/cm³
# Magnetic moment = 0.00 μB/f.u.

[10]
# Pm6HRu2I3, relaxed, DFT GGA-PBE
data_Pm6HRu2I3
_chemical_formula_sum 'Pm12 H2 Ru4 I6'
_space_group_name_H-M_alt 'C 1 2/m 1'
_space_group_IT_number 12
_cell_length_a 7.029
_cell_length_b 12.177
_cell_length_c 8.450
_cell_angle_alpha 90.00
_cell_angle_beta 106.14
_cell_angle_gamma 90.00
loop_
_space_group_symop_operation_xyz
'x,y,z'
'-x,-y,-z'
'-x,y,-z'
'x,-y,z'
'x+1/2,y+1/2,z'
'-x+1/2,-y+1/2,-z'
'-x+1/2,y+1/2,-z'
'x+1/2,-y+1/2,z'
loop_
_atom_site_label
_atom_site_type_symbol
_atom_site_fract_x
_atom_site_fract_y
_atom_site_fract_z
Pm1 Pm 0.225 0.000 0.184
Pm2 Pm 0.229 0.332 0.185
H1 H 0.000 0.500 0.000
Ru1 Ru 0.000 0.167 0.000
I1 I 0.000 0.000 0.500
I2 I 0.000 0.331 0.500
# Fermi-level density of states = 5.3 states/eV/cell
# Calculated total energy = -5.263 eV per atom
# Mass density = 6.95 g/cm³
# Magnetic moment = 0.00 μB/f.u.

[11]
# Pm6Si2HI3, relaxed, DFT GGA-PBE
data_Pm6Si2HI3
_chemical_formula_sum 'Pm12 Si4 H2 I6'
_space_group_name_H-M_alt 'C 1 2/m 1'
_space_group_IT_number 12
_cell_length_a 7.204
_cell_length_b 12.469
_cell_length_c 8.038
_cell_angle_alpha 90.00
_cell_angle_beta 107.75
_cell_angle_gamma 90.00
loop_
_space_group_symop_operation_xyz
'x,y,z'
'-x,-y,-z'
'-x,y,-z'
'x,-y,z'
'x+1/2,y+1/2,z'
'-x+1/2,-y+1/2,-z'
'-x+1/2,y+1/2,-z'
'x+1/2,-y+1/2,z'
loop_
_atom_site_label
_atom_site_type_symbol
_atom_site_fract_x
_atom_site_fract_y
_atom_site_fract_z
Pm1 Pm 0.225 0.161 0.192
Pm2 Pm 0.235 0.500 0.202
Si1 Si 0.000 0.334 0.000
H1 H 0.000 0.000 0.000
I1 I 0.000 0.176 0.500
I2 I 0.000 0.500 0.500
# Fermi-level density of states = 11.0 states/eV/cell
# Calculated total energy = -4.718 eV per atom
# Mass density = 6.32 g/cm³
# Magnetic moment = 1.07 μB/f.u.

[12]
# PrHI2, relaxed, DFT GGA-PBE
data_PrHI2
_chemical_formula_sum 'Pr3 H3 I6'
_space_group_name_H-M_alt 'R 3 m'
_space_group_IT_number 160
_space_group_name_Hall 'R 3 -2"'
_cell_length_a 4.1728
_cell_length_b 4.1728
_cell_length_c 24.8931
_cell_angle_alpha 90.00
_cell_angle_beta 90.00
_cell_angle_gamma 120.00
loop_
_atom_site_label
_atom_site_type_symbol
_atom_site_fract_x
_atom_site_fract_y
_atom_site_fract_z
Pr1 Pr 0.0000 0.0000 0.0000
H1 H 0.0000 0.0000 0.3333
I1 I 0.0000 0.0000 0.5793
I2 I 0.0000 0.0000 0.7540
# Fermi-level density of states = 0.0 states/eV/cell
# Calculated total energy = -4.044 eV per atom
# Mass density = 5.25 g/cm³
# Magnetic moment = 0.00 μB/f.u.

Q: Which of these has the highest magnetic moment?
A: Pm6Si2HI3

Please write out number 9 again, unchanged.
# Pm6HPt2I3, relaxed, DFT GGA-PBE
data_Pm6HPt2I3
_chemical_formula_sum 'Pm12 H2 Pt4 I6'
_space_group_name_H-M_alt 'C 1 2/m 1'
_space_group_IT_number 12
_cell_length_a 7.250
_cell_length_b 12.572
_cell_length_c 8.303
_cell_angle_alpha 90.00
_cell_angle_beta 106.90
_cell_angle_gamma 90.00
loop_
_space_group_symop_operation_xyz
'x,y,z'
'-x,-y,-z'
'-x,y,-z'
'x,-y,z'
'x+1/2,y+1/2,z'
'-x+1/2,-y+1/2,-z'
'-x+1/2,y+1/2,-z'
'x+1/2,-y+1/2,z'
loop_
_atom_site_label
_atom_site_type_symbol
_atom_site_fract_x
_atom_site_fract_y
_atom_site_fract_z
Pm1 Pm 0.226 0.000 0.185
Pm2 Pm 0.231 0.332 0.188
H1 H 0.000 0.500 0.000
Pt1 Pt 0.000 0.167 0.000
I1 I 0.000 0.000 0.500
I2 I 0.000 0.333 0.500
# Fermi-level density of states = 16.7 states/eV/cell
# Calculated total energy = -4.929 eV per atom
# Mass density = 7.53 g/cm³
# Magnetic moment = 0.00 μB/f.u.

Q: Which of these has the highest mass density?
A: Pm6HPt2I3